# 1
Below is crystalline TcNiBiOs at its relaxed geometry, with properties calculated at the GGA-PBE level.

Output
DFT total energy   -7.105 eV/atom
Symmetry   No. 216

abc: 4.502 4.502 4.502
angles: 60.00 60.00 60.00
Element x y z (fractional)
Tc  0.250  0.250  0.250
Bi  0.000  0.000  0.000
Os  0.500  0.500  0.500
Ni  0.750  0.750  0.750

---

# 2
Below is crystalline Ga2FeRe at its relaxed geometry, with properties calculated at the GGA-PBE level.

Output
DFT total energy   -6.426 eV/atom
Symmetry   No. 216

abc: 4.261 4.261 4.261
angles: 60.00 60.00 60.00
Each line ends with the local moment (μB).
Element x y z (fractional)
Fe  0.500  0.500  0.500  2.03
Ga  0.000  0.000  0.000  0.06
Ga  0.750  0.750  0.750  -0.04
Re  0.250  0.250  0.250  0.38

---

# 3
Below is crystalline LuCdFeSn at its relaxed geometry, with properties calculated at the GGA-PBE level.

Output
DFT total energy   -4.425 eV/atom
Symmetry   No. 216

abc: 4.874 4.874 4.874
angles: 60.00 60.00 60.00
Element x y z (fractional)
Lu  0.250  0.250  0.250
Cd  0.500  0.500  0.500
Fe  0.750  0.750  0.750
Sn  0.000  0.000  0.000

---

# 4
Below is crystalline KYCoTe3 at its relaxed geometry, with properties calculated at the GGA-PBE level.

Output
DFT total energy   -4.857 eV/atom
Symmetry   No. 63

abc: 8.321 8.321 11.393
angles: 90.00 90.00 29.67
Each line ends with the local moment (μB).
Element x y z (fractional)
Co  0.528  0.528  0.750  1.95
Te  0.627  0.627  0.929  0.09
K  0.749  0.749  0.250  0.00
Y  0.000  0.000  0.000  0.03
Te  0.373  0.373  0.429  0.08
Te  0.931  0.931  0.750  0.10
Co  0.472  0.472  0.250  1.95
Te  0.373  0.373  0.071  0.09
Te  0.069  0.069  0.250  0.10
K  0.251  0.251  0.750  0.00
Te  0.627  0.627  0.571  0.08
Y  0.000  0.000  0.500  0.03

---

# 5
Below is crystalline RbCoIr at its relaxed geometry, with properties calculated at the GGA-PBE level.

Output
DFT total energy   -3.076 eV/atom
Symmetry   No. 216

abc: 4.656 4.656 4.656
angles: 60.00 60.00 60.00
Element x y z (fractional)
Co  0.250  0.250  0.250
Rb  0.000  0.000  0.000
Ir  0.750  0.750  0.750

---

# 6
Below is crystalline Te2WI at its relaxed geometry, with properties calculated at the GGA-PBE level.

Output
DFT total energy   -5.255 eV/atom
Symmetry   No. 59

abc: 3.489 22.734 6.295
angles: 90.00 90.00 90.00
Element x y z (fractional)
Te  0.000  0.684  0.429
W  0.500  0.245  0.178
W  0.000  0.255  0.822
I  0.500  0.000  0.333
I  0.000  0.500  0.667
Te  0.500  0.343  0.918
Te  0.000  0.843  0.082
Te  0.500  0.657  0.918
W  0.500  0.755  0.178
Te  0.500  0.184  0.571
Te  0.500  0.816  0.571
Te  0.000  0.316  0.429
Te  0.000  0.157  0.082
W  0.000  0.745  0.822
I  0.000  0.500  0.169
I  0.500  0.000  0.831